Record 1
# EuHoAlAu, relaxed, DFT GGA-PBE
data_EuHoAlAu
_cell_length_a 7.3590
_cell_length_b 7.3590
_cell_length_c 7.3590
_cell_angle_alpha 90.00
_cell_angle_beta 90.00
_cell_angle_gamma 90.00
_symmetry_space_group_name_H-M 'F -4 3 m'
_symmetry_Int_Tables_number 216
_symmetry_space_group_name_Hall 'F -4 2 3'
loop_
_atom_site_label
_atom_site_type_symbol
_atom_site_fract_x
_atom_site_fract_y
_atom_site_fract_z
Eu1 Eu 0.0000 0.0000 0.0000
Ho1 Ho 0.0000 0.0000 0.5000
Al1 Al 0.2500 0.2500 0.2500
Au1 Au 0.2500 0.2500 0.7500
# E	-5.96	eV per atom
# crystal system	cubic
# spin magnetization	27.253	μB per cell
# energy of formation	-0.4888	eV/atom



Record 2
# LaEuAlAu, relaxed, DFT GGA-PBE
data_LaEuAlAu
_cell_length_a 7.5824
_cell_length_b 7.5824
_cell_length_c 7.5824
_cell_angle_alpha 90.00
_cell_angle_beta 90.00
_cell_angle_gamma 90.00
_symmetry_space_group_name_H-M 'F -4 3 m'
_symmetry_Int_Tables_number 216
_symmetry_space_group_name_Hall 'F -4 2 3'
loop_
_atom_site_label
_atom_site_type_symbol
_atom_site_fract_x
_atom_site_fract_y
_atom_site_fract_z
La1 La 0.0000 0.0000 0.0000
Eu1 Eu 0.0000 0.0000 0.5000
Al1 Al 0.2500 0.2500 0.7500
Au1 Au 0.2500 0.2500 0.2500
# E	-6.05	eV per atom
# crystal system	cubic
# spin magnetization	27.673	μB per cell
# energy of formation	-0.4932	eV/atom



Record 3
# PrEuAlAu, relaxed, DFT GGA-PBE
data_PrEuAlAu
_cell_length_a 7.5398
_cell_length_b 7.5398
_cell_length_c 7.5398
_cell_angle_alpha 90.00
_cell_angle_beta 90.00
_cell_angle_gamma 90.00
_symmetry_space_group_name_H-M 'F -4 3 m'
_symmetry_Int_Tables_number 216
_symmetry_space_group_name_Hall 'F -4 2 3'
loop_
_atom_site_label
_atom_site_type_symbol
_atom_site_fract_x
_atom_site_fract_y
_atom_site_fract_z
Pr1 Pr 0.0000 0.0000 0.0000
Eu1 Eu 0.0000 0.0000 0.5000
Al1 Al 0.2500 0.2500 0.7500
Au1 Au 0.2500 0.2500 0.2500
# E	-5.99	eV per atom
# crystal system	cubic
# spin magnetization	27.644	μB per cell
# energy of formation	-0.4694	eV/atom



Record 4
# SmEuAlAu, relaxed, DFT GGA-PBE
data_SmEuAlAu
_cell_length_a 7.4587
_cell_length_b 7.4587
_cell_length_c 7.4587
_cell_angle_alpha 90.00
_cell_angle_beta 90.00
_cell_angle_gamma 90.00
_symmetry_space_group_name_H-M 'F -4 3 m'
_symmetry_Int_Tables_number 216
_symmetry_space_group_name_Hall 'F -4 2 3'
loop_
_atom_site_label
_atom_site_type_symbol
_atom_site_fract_x
_atom_site_fract_y
_atom_site_fract_z
Sm1 Sm 0.0000 0.0000 0.0000
Eu1 Eu 0.0000 0.0000 0.5000
Al1 Al 0.2500 0.2500 0.7500
Au1 Au 0.2500 0.2500 0.2500
# E	-5.98	eV per atom
# crystal system	cubic
# spin magnetization	27.355	μB per cell
# energy of formation	-0.4803	eV/atom



Record 5
# SrEuAlAu, relaxed, DFT GGA-PBE
data_SrEuAlAu
_cell_length_a 7.6607
_cell_length_b 7.6607
_cell_length_c 7.6607
_cell_angle_alpha 90.00
_cell_angle_beta 90.00
_cell_angle_gamma 90.00
_symmetry_space_group_name_H-M 'F -4 3 m'
_symmetry_Int_Tables_number 216
_symmetry_space_group_name_Hall 'F -4 2 3'
loop_
_atom_site_label
_atom_site_type_symbol
_atom_site_fract_x
_atom_site_fract_y
_atom_site_fract_z
Sr1 Sr 0.0000 0.0000 0.0000
Eu1 Eu 0.0000 0.0000 0.5000
Al1 Al 0.2500 0.2500 0.2500
Au1 Au 0.2500 0.2500 0.7500
# E	-5.14	eV per atom
# crystal system	cubic
# spin magnetization	28.682	μB per cell
# energy of formation	-0.3920	eV/atom



Record 6
# EuTmAlAu, relaxed, DFT GGA-PBE
data_EuTmAlAu
_cell_length_a 7.3255
_cell_length_b 7.3255
_cell_length_c 7.3255
_cell_angle_alpha 90.00
_cell_angle_beta 90.00
_cell_angle_gamma 90.00
_symmetry_space_group_name_H-M 'F -4 3 m'
_symmetry_Int_Tables_number 216
_symmetry_space_group_name_Hall 'F -4 2 3'
loop_
_atom_site_label
_atom_site_type_symbol
_atom_site_fract_x
_atom_site_fract_y
_atom_site_fract_z
Eu1 Eu 0.0000 0.0000 0.0000
Tm1 Tm 0.0000 0.0000 0.5000
Al1 Al 0.2500 0.2500 0.2500
Au1 Au 0.2500 0.2500 0.7500
# E	-5.93	eV per atom
# crystal system	cubic
# spin magnetization	27.321	μB per cell
# energy of formation	-0.4875	eV/atom



Record 7
# EuYAlAu, relaxed, DFT GGA-PBE
data_EuYAlAu
_cell_length_a 7.3859
_cell_length_b 7.3859
_cell_length_c 7.3859
_cell_angle_alpha 90.00
_cell_angle_beta 90.00
_cell_angle_gamma 90.00
_symmetry_space_group_name_H-M 'F -4 3 m'
_symmetry_Int_Tables_number 216
_symmetry_space_group_name_Hall 'F -4 2 3'
loop_
_atom_site_label
_atom_site_type_symbol
_atom_site_fract_x
_atom_site_fract_y
_atom_site_fract_z
Eu1 Eu 0.0000 0.0000 0.0000
Y1 Y 0.0000 0.0000 0.5000
Al1 Al 0.2500 0.2500 0.2500
Au1 Au 0.2500 0.2500 0.7500
# E	-6.43	eV per atom
# crystal system	cubic
# spin magnetization	27.285	μB per cell
# energy of formation	-0.4950	eV/atom



Record 8
# EuAlZnAu, relaxed, DFT GGA-PBE
data_EuAlZnAu
_cell_length_a 6.9011
_cell_length_b 6.9011
_cell_length_c 6.9011
_cell_angle_alpha 90.00
_cell_angle_beta 90.00
_cell_angle_gamma 90.00
_symmetry_space_group_name_H-M 'F -4 3 m'
_symmetry_Int_Tables_number 216
_symmetry_space_group_name_Hall 'F -4 2 3'
loop_
_atom_site_label
_atom_site_type_symbol
_atom_site_fract_x
_atom_site_fract_y
_atom_site_fract_z
Eu1 Eu 0.0000 0.0000 0.0000
Al1 Al 0.0000 0.0000 0.5000
Zn1 Zn 0.2500 0.2500 0.2500
Au1 Au 0.2500 0.2500 0.7500
# E	-5.03	eV per atom
# crystal system	cubic
# spin magnetization	27.899	μB per cell
# energy of formation	-0.3890	eV/atom



Record 9
# AlAuF2, relaxed, DFT GGA-PBE
data_AlAuF2
_cell_length_a 2.8974
_cell_length_b 2.8974
_cell_length_c 29.3133
_cell_angle_alpha 90.00
_cell_angle_beta 90.00
_cell_angle_gamma 120.00
_symmetry_space_group_name_H-M 'R -3 m'
_symmetry_Int_Tables_number 166
_symmetry_space_group_name_Hall '-R 3 2"'
loop_
_atom_site_label
_atom_site_type_symbol
_atom_site_fract_x
_atom_site_fract_y
_atom_site_fract_z
Al1 Al 0.0000 0.0000 0.0000
Au1 Au 0.0000 0.0000 0.5000
F1 F 0.0000 0.0000 0.3752
# E	-4.23	eV per atom
# crystal system	trigonal
# spin magnetization	0.000	μB per cell



Record 10
# AlAuF2, relaxed, DFT GGA-PBE
data_AlAuF2
_cell_length_a 2.8997
_cell_length_b 2.8997
_cell_length_c 30.4923
_cell_angle_alpha 90.00
_cell_angle_beta 90.00
_cell_angle_gamma 120.00
_symmetry_space_group_name_H-M 'R -3 m'
_symmetry_Int_Tables_number 166
_symmetry_space_group_name_Hall '-R 3 2"'
loop_
_atom_site_label
_atom_site_type_symbol
_atom_site_fract_x
_atom_site_fract_y
_atom_site_fract_z
Al1 Al 0.0000 0.0000 0.0000
Au1 Au 0.0000 0.0000 0.5000
F1 F 0.0000 0.0000 0.0545
# E	-4.13	eV per atom
# crystal system	trigonal
# spin magnetization	0.000	μB per cell



Record 11
# AlAuF2, relaxed, DFT GGA-PBE
data_AlAuF2
_cell_length_a 6.1073
_cell_length_b 6.1073
_cell_length_c 6.1073
_cell_angle_alpha 90.00
_cell_angle_beta 90.00
_cell_angle_gamma 90.00
_symmetry_space_group_name_H-M 'F m -3 m'
_symmetry_Int_Tables_number 225
_symmetry_space_group_name_Hall '-F 4 2 3'
loop_
_atom_site_label
_atom_site_type_symbol
_atom_site_fract_x
_atom_site_fract_y
_atom_site_fract_z
Al1 Al 0.0000 0.0000 0.0000
Au1 Au 0.0000 0.0000 0.5000
F1 F 0.2500 0.2500 0.2500
# E	-3.47	eV per atom
# crystal system	cubic
# spin magnetization	0.000	μB per cell



Record 12
# Al3AuF, relaxed, DFT GGA-PBE
data_Al3AuF
_cell_length_a 4.4305
_cell_length_b 4.4305
_cell_length_c 4.4305
_cell_angle_alpha 90.00
_cell_angle_beta 90.00
_cell_angle_gamma 90.00
_symmetry_space_group_name_H-M 'P m -3 m'
_symmetry_Int_Tables_number 221
_symmetry_space_group_name_Hall '-P 4 2 3'
loop_
_atom_site_label
_atom_site_type_symbol
_atom_site_fract_x
_atom_site_fract_y
_atom_site_fract_z
Al1 Al 0.0000 0.0000 0.5000
Au1 Au 0.5000 0.5000 0.5000
F1 F 0.0000 0.0000 0.0000
# E	-3.51	eV per atom
# crystal system	cubic
# spin magnetization	0.000	μB per cell